Record 1
# MgTl2Pb

A relaxed structure of MgTl2Pb (PBE, the Alexandria database).

a = 5.184 Å, b = 3.475 Å, c = 6.683 Å
α = 72.86°, β = 90.00°, γ = 90.00°
Fractional coordinates of all 4 atoms:
Pb 0.500 0.750 0.750
Tl 0.000 0.073 0.009
Tl 0.000 0.427 0.491
Mg 0.500 0.250 0.250

Computed properties:
Space group = P2/m, No. 10
E_tot = -9.963 eV/f.u.
N(E_F) = 1.8 states/eV per cell
ΔH_f (0 K) = 18 meV per atom

=====

Record 2
# Mg15Tl2Pb2

A relaxed structure of Mg15Tl2Pb2 (PBE, the Alexandria database).

a = 8.527 Å, b = 8.527 Å, c = 8.527 Å
α = 66.41°, β = 66.41°, γ = 66.41°
Fractional coordinates of all 19 atoms:
Mg 0.000 0.500 0.000
Mg 0.000 0.000 0.500
Mg 0.500 0.000 0.000
Mg 0.313 0.000 0.687
Mg 0.687 0.313 0.000
Mg 0.000 0.687 0.313
Mg 0.313 0.687 0.000
Mg 0.000 0.313 0.687
Mg 0.687 0.000 0.313
Mg 0.429 0.801 0.429
Mg 0.429 0.429 0.801
Mg 0.801 0.429 0.429
Mg 0.571 0.199 0.571
Mg 0.571 0.571 0.199
Mg 0.199 0.571 0.571
Tl 0.708 0.708 0.708
Tl 0.292 0.292 0.292
Pb 0.916 0.916 0.916
Pb 0.084 0.084 0.084

Computed properties:
Space group = R-3m, No. 166
E_tot = -33.113 eV/f.u.
N(E_F) = 6.1 states/eV per cell
ΔH_f (0 K) = 156 meV per atom

=====

Record 3
# Mg3TlPb

A relaxed structure of Mg3TlPb (PBE, the Alexandria database).

a = 5.346 Å, b = 5.490 Å, c = 12.930 Å
α = 64.44°, β = 126.54°, γ = 88.56°
Fractional coordinates of all 10 atoms:
Mg 0.038 0.967 0.017
Mg 0.441 0.365 0.615
Mg 0.931 0.654 0.830
Mg 0.842 0.756 0.222
Mg 0.530 0.263 0.223
Mg 0.334 0.052 0.428
Tl 0.587 0.594 0.390
Tl 0.785 0.425 0.055
Pb 0.119 0.868 0.616
Pb 0.253 0.150 0.829

Computed properties:
Space group = P-1, No. 2
Offset from the most stable computed form = 0.37 kJ per mole of atoms
E_tot = -10.954 eV/f.u.
N(E_F) = 4.9 states/eV per cell
ΔH_f (0 K) = -19 meV per atom

=====

What did the second record say?
# Mg15Tl2Pb2

A relaxed structure of Mg15Tl2Pb2 (PBE, the Alexandria database).

a = 8.527 Å, b = 8.527 Å, c = 8.527 Å
α = 66.41°, β = 66.41°, γ = 66.41°
Fractional coordinates of all 19 atoms:
Mg 0.000 0.500 0.000
Mg 0.000 0.000 0.500
Mg 0.500 0.000 0.000
Mg 0.313 0.000 0.687
Mg 0.687 0.313 0.000
Mg 0.000 0.687 0.313
Mg 0.313 0.687 0.000
Mg 0.000 0.313 0.687
Mg 0.687 0.000 0.313
Mg 0.429 0.801 0.429
Mg 0.429 0.429 0.801
Mg 0.801 0.429 0.429
Mg 0.571 0.199 0.571
Mg 0.571 0.571 0.199
Mg 0.199 0.571 0.571
Tl 0.708 0.708 0.708
Tl 0.292 0.292 0.292
Pb 0.916 0.916 0.916
Pb 0.084 0.084 0.084

Computed properties:
Space group = R-3m, No. 166
E_tot = -33.113 eV/f.u.
N(E_F) = 6.1 states/eV per cell
ΔH_f (0 K) = 156 meV per atom